First-principles (PBE) data for a relaxed structure of SrInW3, as listed in the Alexandria database.

Calculated values
DFT formation energy	3.444	eV per atom
distance to the lowest polymorph of the same formula	0.927	eV/atom

Lattice parameters (Å, degrees): 4.859 4.859 4.859 90.00 90.00 90.00
Fractional coordinates of all 5 atoms:
Sr: 0.000 0.000 0.000
In: 0.500 0.500 0.500
W: 0.000 0.000 0.500
W: 0.000 0.500 0.000
W: 0.500 0.000 0.000